FeOsO | GGA+U | optimized geometry

Unit cell a=4.192 b=4.192 c=7.842 alpha=116.44 beta=116.44 gamma=40.32
Last column: magnetic moment on the atom in μB.
Atoms (fractional coordinates):
1 Fe 0.444 0.444 0.486  3.67
2 Os 0.704 0.704 0.078  0.06
3 O 0.180 0.180 0.525  0.09
4 Os 0.049 0.049 0.229  0.06
5 Fe 0.310 0.310 0.821  3.67
6 O 0.574 0.574 0.783  0.09

Properties
Calculated volume ... 39.25 Å³/f.u.
Energy relative to the lowest polymorph listed for this composition ... 64.0 meV per atom